(1)
Below is a relaxed structure of NbSb2W, with properties calculated at the PBE-GGA level.

```
NbSb2W
1.0
7.737 0.000 0.000
0.000 7.737 0.000
3.868 3.868 2.954
Sb Nb W
4 2 2
direct
0.375 0.359 0.750
0.641 0.125 0.250
0.875 0.891 0.750
0.109 0.625 0.250
0.250 0.750 0.500
0.500 0.500 0.000
0.000 0.000 0.000
0.750 0.250 0.500
```

## Properties
For the energy relative to the elements, uncorrected, the calculation gives 3.75 eV per formula unit.

(2)
Below is a relaxed structure of NbSb2W, with properties calculated at the PBE-GGA level.

```
NbSb2W
1.0
1.806 -4.134 1.548
-2.888 -3.706 0.822
0.101 -3.791 -2.893
Nb W Sb
1 1 2
direct
0.000 0.000 0.000
0.500 0.500 0.500
0.250 0.250 0.250
0.750 0.750 0.750
```

## Properties
For the energy relative to the elements, uncorrected, the calculation gives 1.22 eV per formula unit.

(3)
Below is a relaxed structure of NbSbW, with properties calculated at the PBE-GGA level.

```
NbSbW
1.0
4.893 -0.048 1.288
2.412 4.257 0.889
2.646 0.159 6.170
W Nb Sb
2 2 2
direct
0.906 0.702 0.969
0.101 0.619 0.529
0.275 0.034 0.924
0.475 0.946 0.453
0.561 0.371 0.997
0.821 0.281 0.428
```

## Properties
For the energy relative to the elements, uncorrected, the calculation gives 0.80 eV per formula unit.

(4)
Below is a relaxed structure of NbZn2SbW, with properties calculated at the PBE-GGA level.

```
NbZn2SbW
1.0
5.026 0.000 0.000
0.000 4.779 0.000
0.000 0.000 5.026
Sb W Nb Zn
1 1 1 2
direct
0.500 0.500 0.500
0.000 0.500 0.000
0.000 0.000 0.000
0.500 0.000 0.000
0.000 0.000 0.500
```

## Properties
For the energy relative to the elements, uncorrected, the calculation gives 6.99 eV per formula unit.

(5)
Below is a relaxed structure of YNbSb2, with properties calculated at the PBE-GGA level.

```
YNbSb2
1.0
0.000 3.583 3.583
3.583 0.000 3.583
3.583 3.583 0.000
Sb Y Nb
2 1 1
direct
0.250 0.250 0.250
0.750 0.750 0.750
0.000 0.000 0.000
0.500 0.500 0.500
```

## Properties
For the energy relative to the elements, uncorrected, the calculation gives -1.41 eV per formula unit.

(6)
Below is a relaxed structure of YNb2Sb2, with properties calculated at the PBE-GGA level.

```
YNb2Sb2
1.0
-6.319 4.493 1.829
-4.637 -4.710 -4.448
-0.626 -2.016 2.788
Y Sb Nb
2 4 4
direct
0.500 0.500 0.000
0.000 0.000 0.000
0.851 0.649 0.000
0.149 0.351 0.000
0.351 0.851 0.000
0.649 0.149 0.000
0.140 0.640 0.500
0.360 0.140 0.500
0.860 0.360 0.500
0.640 0.860 0.500
```

## Properties
For the energy relative to the elements, uncorrected, the calculation gives -1.42 eV per formula unit.

| no. | DOS at the Fermi energy (states/eV/f.u.) |
| --- | --- |
| 1 | 5.24 |
| 2 | 8.76 |
| 3 | 2.02 |
| 4 | 4.70 |
| 5 | 4.85 |
| 6 | 4.27 |